[1]
Compound: SrAg2F7
Source: Alexandria
Functional: PBE-GGA
Structure: relaxed

abc: 7.100 10.779 4.053
angles: 90.00 90.00 90.00
Space group Cmmm (No. 65)
Asymmetric unit:
Sr1 0.000 0.000 0.000 x2
Ag1 0.000 0.307 0.500 x4
F1 0.000 0.292 0.000 x4
F2 0.000 0.500 0.500 x2
F3 0.174 0.126 0.500 x8

## Properties
For the density of states at the Fermi level, the calculation gives 0.577 states/eV/atom.

***

[2]
Compound: SrAg4F12
Source: Alexandria
Functional: PBE-GGA
Structure: relaxed

abc: 8.472 8.472 8.472
angles: 90.00 90.00 90.00
Space group Im-3 (No. 204)
Asymmetric unit:
Sr1 0.000 0.000 0.000 x2
Ag1 0.250 0.250 0.250 x8
F1 0.000 0.237 0.223 x24

## Properties
For the density of states at the Fermi level, the calculation gives 0.409 states/eV/atom.

***

[3]
Compound: SrAg6F8
Source: Alexandria
Functional: PBE-GGA
Structure: relaxed

abc: 9.6230 9.6230 9.2970
angles: 90.00 90.00 120.00
Space group R-3 (No. 148, hexagonal axes)
Asymmetric unit:
Sr1 0.0000 0.0000 0.0000 x3
Ag1 0.0059 0.7866 0.3842 x18
F1 0.0000 0.0000 0.2785 x6
F2 0.0446 0.2658 0.0980 x18

***

[4]
Compound: SrAg3F8
Source: Alexandria
Functional: PBE-GGA
Structure: relaxed

abc: 5.5967 5.5967 6.8403
angles: 90.00 90.00 120.00
Space group P-3 (No. 147)
Asymmetric unit:
Sr1 0.0000 0.0000 0.0000 x1
Ag1 0.0000 0.0000 0.5000 x1
Ag2 0.3333 0.6667 0.6448 x2
F1 0.0819 0.3284 0.3048 x6
F2 0.3333 0.6667 0.9516 x2

## Properties
For the density of states at the Fermi level, the calculation gives 0.431 states/eV/atom.

***

[5]
Compound: Sr4AgF10
Source: Alexandria
Functional: PBE-GGA
Structure: relaxed

abc: 4.1182 4.1182 49.5780
angles: 90.00 90.00 120.00
Space group R-3m (No. 166, hexagonal axes)
Asymmetric unit:
Sr1 0.0000 0.0000 0.1030 x6
Sr2 0.0000 0.0000 0.2990 x6
Ag1 0.0000 0.0000 0.5000 x3
F1 0.0000 0.0000 0.0516 x6
F2 0.0000 0.0000 0.1537 x6
F3 0.0000 0.0000 0.2477 x6
F4 0.0000 0.0000 0.3504 x6
F5 0.0000 0.0000 0.4530 x6

## Properties
For the density of states at the Fermi level, the calculation gives 0.365 states/eV/atom.

***

[6]
Compound: Sr2AgF5
Source: Alexandria
Functional: PBE-GGA
Structure: relaxed

abc: 4.618 6.255 6.575
angles: 95.75 108.36 104.06
Space group P1 (No. 1)
Asymmetric unit:
Sr1 0.000 0.000 0.000 x1
Sr2 0.171 0.572 0.591 x1
Ag1 0.708 0.988 0.417 x1
F1 0.037 0.256 0.757 x1
F2 0.153 0.840 0.336 x1
F3 0.430 0.864 0.937 x1
F4 0.740 0.698 0.653 x1
F5 0.970 0.275 0.275 x1

## Properties
For the density of states at the Fermi level, the calculation gives 0.000 states/eV/atom.

***

Energy relative to the elements, uncorrected readings, ordered: -1816.6; -1593.3; -1529.5; -1586.0; -3350.1; -3095.6 meV per atom
Raw total energy readings, ordered: -3.86; -3.68; -3.78; -3.69; -5.24; -5.04 eV/atom